1.
BaTbO2 | PBE | relaxed

Output
distance to the lowest polymorph of the same formula = 0.00 eV per formula unit
uncorrected formation energy = -2.746 eV/atom
density of states at the Fermi level = 0.231 states/eV/atom

a b c (Å): 3.5702 3.5702 6.6802
angles (deg): 74.50 74.50 60.00
With the nearest neighbours (Å) after each atom.
Fractional coordinates of all 4 atoms:
1 Ba 0.5000 0.5000 0.5000  6 O 2.88
2 O 0.7277 0.7277 0.8168  3 Tb 2.37
3 O 0.2723 0.2723 0.1832  3 Tb 2.37
4 Tb 0.0000 0.0000 0.0000  6 O 2.37

***

2.
Ba3Tb2O6 | PBE | relaxed

Output
uncorrected formation energy = -2.939 eV/atom
density of states at the Fermi level = 0.000 states/eV/atom

a b c (Å): 4.4362 4.4362 11.3200
angles (deg): 101.30 101.30 90.00
With the nearest neighbours (Å) after each atom.
Fractional coordinates of all 11 atoms:
1 Ba 0.0000 0.0000 0.0000  8 O 2.86
2 Ba 0.8175 0.8175 0.6350  1 O 2.56
3 Ba 0.1825 0.1825 0.3650  1 O 2.56
4 O 0.9173 0.4173 0.8345  2 Tb 2.26
5 O 0.6998 0.6998 0.3997  1 Tb 2.14
6 O 0.5827 0.0827 0.1655  2 Tb 2.26
7 O 0.4173 0.9173 0.8345  2 Tb 2.26
8 O 0.3002 0.3002 0.6003  1 Tb 2.14
9 O 0.0827 0.5827 0.1655  2 Tb 2.26
10 Tb 0.6016 0.6016 0.2031  5 O 2.14-2.26
11 Tb 0.3984 0.3984 0.7969  5 O 2.14-2.26

***

3.
BaTbO2 | PBE | relaxed

Output
distance to the lowest polymorph of the same formula = 0.45 eV per formula unit
uncorrected formation energy = -2.633 eV/atom
density of states at the Fermi level = 0.303 states/eV/atom

a b c (Å): 3.5408 3.5408 6.9703
angles (deg): 75.29 75.29 60.00
With the nearest neighbours (Å) after each atom.
Fractional coordinates of all 4 atoms:
1 Ba 0.4948 0.4948 0.5156  6 O 2.87-3.07
2 Tb 0.6684 0.6684 0.9949  6 O 2.36
3 O 0.0608 0.0608 0.8176  3 Tb 2.36
4 O 0.2760 0.2760 0.1719  3 Tb 2.36

***

4.
BaTb2O | PBE | relaxed

Output
uncorrected formation energy = -1.139 eV/atom
density of states at the Fermi level = 0.724 states/eV/atom

a b c (Å): 3.6063 3.6063 10.0142
angles (deg): 79.63 79.63 60.00
With the nearest neighbours (Å) after each atom.
Fractional coordinates of all 4 atoms:
1 Tb 0.8772 0.8772 0.3685  3 O 2.45
2 Tb 0.1228 0.1228 0.6315  3 O 2.45
3 O 0.5000 0.5000 0.5000  6 Tb 2.45
4 Ba 0.0000 0.0000 0.0000  6 Ba 3.61, 2 Tb 3.61